Material: SmZnSi
Method: DFT, PBE
State: optimized geometry

Summary:
DOS(E_F)	1.4	states/eV per cell
uncorrected formation energy	-0.6418	eV/atom
M_tot	0.00	Bohr magnetons per cell

a = 4.1531 Å, b = 4.1531 Å, c = 4.1661 Å
α = 90.00°, β = 90.00°, γ = 120.00°
Closest atoms and distances in Å follow each position.
Fractional positions:
Zn1 0.6667 0.3333 0.5000  3 Si 2.40
Sm1 0.3333 0.6667 0.0000  6 Zn 3.18, 6 Si 3.18
Si1 0.0000 0.0000 0.5000  3 Zn 2.40